# 1
A plane-wave DFT calculation with PBE was carried out for a relaxed structure of Y3NiPd2.

Values from the calculation:
For the density of states at the Fermi level, the calculation gives 13.32 states/eV/cell. The energy of formation comes out at -0.69 eV per atom.

POSCAR file:
```
Y3NiPd2
1.0
11.465 0.000 0.000
0.000 4.125 0.000
0.000 0.000 11.397
Y Ni Pd
12 4 8
Cartesian
0.580 1.031 1.434
1.377 3.094 6.349
2.555 1.031 9.150
3.178 3.094 3.451
4.355 1.031 0.651
5.152 3.094 7.133
6.313 1.031 4.264
7.110 3.094 10.746
8.288 1.031 7.945
8.910 3.094 2.247
10.088 1.031 5.047
10.885 3.094 9.962
1.416 1.031 4.249
4.316 3.094 9.948
7.149 1.031 1.449
10.049 3.094 7.147
0.067 3.094 3.494
2.132 3.094 11.385
3.600 1.031 5.686
5.665 1.031 9.192
5.800 3.094 2.205
7.865 3.094 5.710
9.333 1.031 0.012
11.398 1.031 7.903
```

# 2
A plane-wave DFT calculation with PBE was carried out for a relaxed structure of Y2Ni2Pd.

Values from the calculation:
For the density of states at the Fermi level, the calculation gives 4.35 states/eV/cell. The energy of formation comes out at -0.56 eV per atom. The value obtained for the energy above the most stable polymorph in this dataset is 0.0 kJ/mol of atoms.

POSCAR file:
```
Y2Ni2Pd
1.0
-2.063 2.871 3.970
2.063 -2.871 3.970
2.063 2.871 -3.970
Y Ni Pd
2 2 1
Cartesian
0.000 0.000 1.701
0.000 0.000 6.239
2.063 1.175 0.000
0.000 1.696 3.970
0.000 2.871 0.000
```

# 3
A plane-wave DFT calculation with PBE was carried out for a relaxed structure of Y2Ni2Pd.

Values from the calculation:
For the density of states at the Fermi level, the calculation gives 4.95 states/eV/cell. The energy of formation comes out at -0.39 eV per atom. The value obtained for the energy above the most stable polymorph in this dataset is 16.5 kJ/mol of atoms.

POSCAR file:
```
Y2Ni2Pd
1.0
-1.747 1.747 7.961
1.747 -1.747 7.961
1.747 1.747 -7.961
Y Ni Pd
2 2 1
Cartesian
0.000 0.000 1.784
0.000 0.000 14.138
1.747 0.000 3.981
0.000 1.747 3.981
0.000 0.000 7.961
```

# 4
A plane-wave DFT calculation with PBE was carried out for a relaxed structure of Y4NiPd3.

Values from the calculation:
For the density of states at the Fermi level, the calculation gives 5.68 states/eV/cell. The energy of formation comes out at -0.78 eV per atom.

POSCAR file:
```
Y4NiPd3
1.0
3.788 0.000 0.000
0.000 4.469 0.000
0.000 0.000 10.490
Y Ni Pd
4 1 3
Cartesian
0.000 0.000 0.000
0.000 2.235 2.822
1.894 0.000 5.100
1.894 2.235 8.096
1.894 0.000 2.220
0.000 0.000 7.532
0.000 2.235 5.736
1.894 2.235 0.564
```